Density functional theory data (PBE-GGA) for a geometry-optimized ScCCl3 structure.

Output
Theoretical density   3.02 Mg/m³
Total energy   -3.759 eV/atom
Formation energy without anion corrections   459.6 meV per atom

Cell lengths 4.4791, 4.4791, 4.4791 Å; angles 90.00, 90.00, 90.00 degrees
Closest atoms and distances in Å follow each position.
Space group Pm-3m (No. 221)
One atom of each set of equivalent atoms:
1 Sc 0.0000 0.0000 0.0000 [1 per cell]  12 Cl 3.17
2 C 0.5000 0.5000 0.5000 [1 per cell]  6 Cl 2.24
3 Cl 0.0000 0.5000 0.5000 [3 per cell]  2 C 2.24